The following is a PBE-GGA calculation of a relaxed Li2ZnInAg4 crystal, from the Open Quantum Materials Database.

Properties
* calculated total energy: -0.1908 Ry/atom
* space group: P4/mmm

Cell: 4.5428 4.5428 6.5909 Å, 90.00 90.00 90.00°
Fractional positions:
Li  0.0000  0.0000  0.0000
Li  0.5000  0.5000  0.5000
Zn  0.0000  0.0000  0.5000
In  0.5000  0.5000  0.0000
Ag  0.0000  0.5000  0.2673
Ag  0.0000  0.5000  0.7327
Ag  0.5000  0.0000  0.2673
Ag  0.5000  0.0000  0.7327